Lu2BeN: relaxed, PBE.

Cell and atoms, written as POSCAR:
```
Lu2BeN
1.0
3.3136 0.0000 0.0000
1.6568 2.8696 0.0000
1.6568 0.9565 8.2447
Be N Lu
1 1 2
Direct
0.0000 0.0000 0.0000
0.5000 0.5000 0.5000
0.8860 0.8860 0.3421
0.1140 0.1140 0.6579
```

Results
Its uncorrected formation energy is -0.22 eV/atom. For the energy, the calculation gives -5.49 eV per atom.